Material: BeCoBMo
Method: DFT, PBE
State: relaxed

Output
**Total magnetization**: 2.09 μB/f.u.
**Energy above the most stable polymorph in this dataset**: 0 meV per atom

abc: 3.8256 3.8256 3.8256
angles: 60.00 60.00 60.00
Last column: nearest neighbours and their distance in Å.
Fractional positions:
Be (0.5000, 0.5000, 0.5000)  4 Mo 2.34, 4 Co 2.34
B (0.0000, 0.0000, 0.0000)  4 Co 2.34, 4 Mo 2.34
Mo (0.2500, 0.2500, 0.2500)  4 Be 2.34, 4 B 2.34
Co (0.7500, 0.7500, 0.7500)  4 B 2.34, 4 Be 2.34